Crystalline Li2Tb2Ag3 at its relaxed geometry, computed with GGA-PBE.

Cell and atoms, written as POSCAR:
```
Li2Tb2Ag3
1.0
1.8269 -11.8176 0.0000
1.8269 11.8176 0.0000
0.0000 0.0000 3.4706
Li Tb Ag
2 2 3
direct
0.2112 0.7888 0.0000
0.7888 0.2112 0.0000
0.0793 0.9207 0.0000
0.9207 0.0793 0.0000
0.3398 0.6602 0.5000
0.5000 0.5000 0.5000
0.6602 0.3398 0.5000
```

Calculated values
Its uncorrected energy is -22.98 eV per formula unit. The value obtained for the density of states at the Fermi level is 3.2 states/eV per cell. The value obtained for the formation energy is -0.19 eV/atom.

=====

Crystalline Li6TbAg2 at its relaxed geometry, computed with GGA-PBE.

Cell and atoms, written as POSCAR:
```
Li6TbAg2
1.0
4.0036 0.0000 0.0000
0.0000 4.0036 0.0000
0.0000 0.0000 11.2804
Li Tb Ag
6 1 2
direct
0.0000 0.0000 0.0000
0.0000 0.5000 0.2126
0.0000 0.5000 0.7874
0.5000 0.0000 0.2126
0.5000 0.0000 0.7874
0.5000 0.5000 0.0000
0.0000 0.0000 0.5000
0.5000 0.5000 0.3752
0.5000 0.5000 0.6248
```

Calculated values
Its uncorrected energy is -22.75 eV per formula unit. The value obtained for the density of states at the Fermi level is 3.4 states/eV per cell. The value obtained for the formation energy is -0.10 eV/atom.

=====

Crystalline Li4TbAg5 at its relaxed geometry, computed with GGA-PBE.

Cell and atoms, written as POSCAR:
```
Li4TbAg5
1.0
3.2667 0.0000 0.0000
0.0000 3.2667 0.0000
0.0000 0.0000 16.5333
Li Tb Ag
4 1 5
direct
0.0000 0.0000 0.0924
0.0000 0.0000 0.2769
0.0000 0.0000 0.7231
0.0000 0.0000 0.9076
0.0000 0.0000 0.5000
0.5000 0.5000 0.0000
0.5000 0.5000 0.1853
0.5000 0.5000 0.3693
0.5000 0.5000 0.6307
0.5000 0.5000 0.8147
```

Calculated values
Its uncorrected energy is -28.66 eV per formula unit. The value obtained for the density of states at the Fermi level is 4.1 states/eV per cell. The value obtained for the formation energy is -0.21 eV/atom.

=====

Crystalline Li2TbAg8 at its relaxed geometry, computed with GGA-PBE.

Cell and atoms, written as POSCAR:
```
Li2TbAg8
1.0
7.5838 -2.0574 0.0000
7.5838 2.0574 0.0000
-2.0250 0.0000 6.4649
Li Tb Ag
2 1 8
direct
0.2211 0.2211 0.1447
0.7789 0.7789 0.8553
0.5000 0.5000 0.5000
0.0472 0.0472 0.2178
0.1474 0.1474 0.7058
0.3149 0.3149 0.5849
0.4006 0.4006 0.0340
0.5994 0.5994 0.9660
0.6851 0.6851 0.4151
0.8526 0.8526 0.2942
0.9528 0.9528 0.7822
```

Calculated values
Its uncorrected energy is -33.02 eV per formula unit. The value obtained for the density of states at the Fermi level is 5.3 states/eV per cell. The value obtained for the formation energy is -0.16 eV/atom.